# YMg2Pt

A PBEsol-optimized structure of YMg2Pt (meta-GGA SCAN, Alexandria via LeMat-Bulk).

Output
- crystal system = tetragonal
- uncorrected energy (eV/atom) = -27.67
- calculated formation energy (eV/atom) = -0.673

extended XYZ file:
```
4
Lattice="4.092 0.000 0.000 0.000 4.092 0.000 0.000 0.000 4.867" Properties=species:S:1:pos:R:3 pbc="T T T"
Y 0.000 0.000 0.000
Mg 0.000 2.046 2.433
Mg 2.046 0.000 2.433
Pt 2.046 2.046 0.000
```